The following is a PBE calculation of a relaxed Be4PdRu crystal, from Alexandria via LeMat-Bulk.

ΔH_f (0 K)   -0.311 eV per atom
M_tot   0.0 μB/cell
Volume   9.9 Å³ per atom

Cell: 4.379 4.379 4.379 Å, 60.00 60.00 60.00°
Fractional coordinates of all 6 atoms:
Ru  0.250  0.250  0.250
Pd  0.000  0.000  0.000
Be  0.624  0.624  0.127
Be  0.624  0.127  0.624
Be  0.624  0.624  0.624
Be  0.127  0.624  0.624